Entry 1:
A relaxed TlPbBr2Cl crystal, computed with PBE.

Cell: 4.445 7.606 10.788 Å, 90.00 90.00 106.99°
Fractional coordinates of all 10 atoms:
Br: 0.360 0.721 0.445
Cl: 0.926 0.851 0.750
Tl: 0.734 0.469 0.250
Br: 0.640 0.279 0.555
Pb: 0.000 0.000 0.000
Cl: 0.074 0.149 0.250
Br: 0.360 0.721 0.055
Br: 0.640 0.279 0.945
Pb: 0.000 0.000 0.500
Tl: 0.266 0.531 0.750

**Energy relative to the lowest polymorph listed for this composition**: 0.0000 eV/atom
**Energy relative to the elements, uncorrected**: -0.979 eV per atom
**Uncorrected energy**: -32.33 eV per cell
**Total moment**: 0.0000 μB/atom

***

Entry 2:
A relaxed TlPbBrCl2 crystal, computed with PBE.

Cell: 5.649 5.649 5.986 Å, 90.00 90.00 90.00°
Fractional coordinates of all 5 atoms:
Pb: 0.000 0.000 0.000
Br: 0.000 0.000 0.500
Cl: 0.000 0.500 0.000
Cl: 0.500 0.000 0.000
Tl: 0.500 0.500 0.500

**Energy relative to the lowest polymorph listed for this composition**: 0.0000 eV/atom
**Energy relative to the elements, uncorrected**: -0.959 eV per atom
**Uncorrected energy**: -16.23 eV per cell
**Total moment**: 0.0000 μB/atom

***

Entry 3:
A relaxed Tl2PbBr2Cl2 crystal, computed with PBE.

Cell: 5.654 5.654 9.314 Å, 107.67 107.67 90.00°
Fractional coordinates of all 7 atoms:
Tl: 0.638 0.638 0.276
Pb: 0.000 0.000 0.000
Br: 0.821 0.821 0.642
Cl: 0.500 0.000 0.000
Tl: 0.362 0.362 0.724
Cl: 0.000 0.500 0.000
Br: 0.179 0.179 0.358

**Energy relative to the elements, uncorrected**: -0.941 eV per atom
**Uncorrected energy**: -22.07 eV per cell
**Total moment**: 0.0000 μB/atom

***

Entry 4:
A relaxed TlPbBr2Cl crystal, computed with PBE.

Cell: 5.958 5.958 5.626 Å, 90.00 90.00 90.00°
Fractional coordinates of all 5 atoms:
Tl: 0.500 0.500 0.500
Pb: 0.000 0.000 0.000
Br: 0.000 0.500 0.000
Br: 0.500 0.000 0.000
Cl: 0.000 0.000 0.500

**Energy relative to the lowest polymorph listed for this composition**: 0.0967 eV/atom
**Energy relative to the elements, uncorrected**: -0.883 eV per atom
**Uncorrected energy**: -15.68 eV per cell
**Total moment**: 0.0000 μB/atom